[1]
Entry from Alexandria: a relaxed structure of ZrRe2As (PBEsol).

The value obtained for the energy relative to the elements is 95 meV/atom. Its crystal system is tetragonal. The calculation puts the density of states at the Fermi level at 0.822 states/eV per atom. The final energy is -10.120 eV per atom. The calculation puts the theoretical density at 14.1 Mg/m³.

The space group is P4/mmm (No. 123) and the conventional cell measures 3.201, 3.201 and 6.211 Å, with angles of 90.00, 90.00 and 90.00 degrees. The distinct sites, in fractional coordinates, are Zr at (0.000, 0.000, 0.000), Re at (0.500, 0.500, 0.269) and As at (0.000, 0.000, 0.500).



[2]
Entry from Alexandria: a relaxed structure of As2Rh (PBEsol).

The value obtained for the energy relative to the elements is -163 meV/atom. Its crystal system is orthorhombic. The calculation puts the density of states at the Fermi level at 0.640 states/eV per atom. The final energy is -6.280 eV per atom. The calculation puts the theoretical density at 8.2 Mg/m³.

The space group is Imma (No. 74) and the conventional cell measures 2.960, 3.098 and 22.363 Å, with angles of 90.00, 90.00 and 90.00 degrees. The distinct sites, in fractional coordinates, are As at (0.000, 0.250, 0.058), As at (0.000, 0.250, 0.192) and Rh at (0.000, 0.250, 0.625).



[3]
Entry from Alexandria: a relaxed structure of As5Rh (PBEsol).

The value obtained for the energy relative to the elements is 151 meV/atom. Its crystal system is tetragonal. The calculation puts the density of states at the Fermi level at 0.592 states/eV per atom. The final energy is -5.461 eV per atom. The calculation puts the theoretical density at 7.5 Mg/m³.

The space group is P4/mmm (No. 123) and the conventional cell measures 2.932, 2.932 and 12.258 Å, with angles of 90.00, 90.00 and 90.00 degrees. The distinct sites, in fractional coordinates, are As at (0.000, 0.000, 0.000), As at (0.000, 0.000, 0.369), As at (0.500, 0.500, 0.173) and Rh at (0.500, 0.500, 0.500).



[4]
Entry from Alexandria: a relaxed structure of AsRh2 (PBEsol).

The value obtained for the energy relative to the elements is -401 meV/atom. Its crystal system is orthorhombic. The calculation puts the density of states at the Fermi level at 0.768 states/eV per atom. The final energy is -7.528 eV per atom. The calculation puts the theoretical density at 11.1 Mg/m³.

The space group is Pnma (No. 62) and the conventional cell measures 5.762, 3.942 and 7.406 Å, with angles of 90.00, 90.00 and 90.00 degrees. The distinct sites, in fractional coordinates, are As at (0.234, 0.250, 0.113), Rh at (0.032, 0.250, 0.821) and Rh at (0.148, 0.250, 0.429).



[5]
Entry from Alexandria: a relaxed structure of As2Rh (PBEsol).

The value obtained for the energy relative to the elements is -328 meV/atom. Its crystal system is cubic. The calculation puts the density of states at the Fermi level at 0.466 states/eV per atom. The final energy is -6.445 eV per atom. The calculation puts the theoretical density at 8.1 Mg/m³.

The space group is Fm-3m (No. 225) and the conventional cell measures 5.929, 5.929 and 5.929 Å, with angles of 90.00, 90.00 and 90.00 degrees. The distinct sites, in fractional coordinates, are As at (0.250, 0.250, 0.250) and Rh at (0.000, 0.000, 0.000).



[6]
Entry from Alexandria: a relaxed structure of As2Rh (PBEsol).

The value obtained for the energy relative to the elements is 43 meV/atom. Its crystal system is tetragonal. The calculation puts the density of states at the Fermi level at 0.511 states/eV per atom. The final energy is -6.074 eV per atom. The calculation puts the theoretical density at 8.7 Mg/m³.

The space group is I4/mmm (No. 139) and the conventional cell measures 3.464, 3.464 and 8.051 Å, with angles of 90.00, 90.00 and 90.00 degrees. The distinct sites, in fractional coordinates, are As at (0.000, 0.000, 0.161) and Rh at (0.000, 0.000, 0.500).



[7]
Entry from Alexandria: a relaxed structure of AsRh2 (PBEsol).

The value obtained for the energy relative to the elements is -462 meV/atom. Its crystal system is cubic. The calculation puts the density of states at the Fermi level at 0.365 states/eV per atom. The final energy is -7.590 eV per atom. The calculation puts the theoretical density at 10.3 Mg/m³.

The space group is Fm-3m (No. 225) and the conventional cell measures 5.663, 5.663 and 5.663 Å, with angles of 90.00, 90.00 and 90.00 degrees. The distinct sites, in fractional coordinates, are As at (0.000, 0.000, 0.000) and Rh at (0.250, 0.250, 0.250).



[8]
Entry from Alexandria: a relaxed structure of As2Rh (PBEsol).

The value obtained for the energy relative to the elements is -540 meV/atom. Its crystal system is monoclinic. The final energy is -6.657 eV per atom. The calculation puts the theoretical density at 8.2 Mg/m³.

The space group is P2_1/c (No. 14) and the conventional cell measures 6.051, 6.074 and 6.153 Å, with angles of 90.00, 114.48 and 90.00 degrees. The distinct sites, in fractional coordinates, are As at (0.157, 0.130, 0.372), As at (0.339, 0.630, 0.684) and Rh at (0.272, 0.000, 0.791).



[9]
Entry from Alexandria: a relaxed structure of AsRh2 (PBEsol).

The value obtained for the energy relative to the elements is -207 meV/atom. Its crystal system is monoclinic. The calculation puts the density of states at the Fermi level at 0.996 states/eV per atom. The final energy is -7.335 eV per atom. The calculation puts the theoretical density at 10.8 Mg/m³.

The space group is C2/m (No. 12) and the conventional cell measures 10.375, 2.878 and 6.208 Å, with angles of 90.00, 111.91 and 90.00 degrees. The distinct sites, in fractional coordinates, are As at (0.198, 0.000, 0.180), Rh at (0.067, 0.500, 0.851) and Rh at (0.133, 0.000, 0.512).



[10]
Entry from Alexandria: a relaxed structure of As2Rh (PBEsol).

The value obtained for the energy relative to the elements is 72 meV/atom. Its crystal system is tetragonal. The calculation puts the density of states at the Fermi level at 0.605 states/eV per atom. The final energy is -6.045 eV per atom. The calculation puts the theoretical density at 7.8 Mg/m³.

The space group is P4/mmm (No. 123) and the conventional cell measures 4.167, 4.167 and 3.083 Å, with angles of 90.00, 90.00 and 90.00 degrees. The distinct sites, in fractional coordinates, are As at (0.000, 0.500, 0.000) and Rh at (0.000, 0.000, 0.500).



[11]
Entry from Alexandria: a relaxed structure of AsRu2Rh (PBEsol).

The value obtained for the energy relative to the elements is 45 meV/atom. Its crystal system is monoclinic. The calculation puts the density of states at the Fermi level at 0.774 states/eV per atom. The final energy is -8.353 eV per atom. The calculation puts the theoretical density at 11.4 Mg/m³.

The space group is Cm (No. 8) and the conventional cell measures 8.832, 2.799 and 4.490 Å, with angles of 90.00, 94.70 and 90.00 degrees. The distinct sites, in fractional coordinates, are As at (0.000, 0.000, 0.000), Ru at (0.001, 0.500, 0.496), Ru at (0.267, 0.500, 0.277) and Rh at (0.238, 0.000, 0.759).



[12]
Entry from Alexandria: a relaxed structure of As2RuRh (PBEsol).

The value obtained for the energy relative to the elements is -169 meV/atom. Its crystal system is trigonal. The calculation puts the density of states at the Fermi level at 0.490 states/eV per atom. The final energy is -7.300 eV per atom. The polymorph energy (0 for the lowest one) is 0 meV per atom. The calculation puts the theoretical density at 10.1 Mg/m³.

The space group is R-3m (No. 166, hexagonal axes) and the conventional cell measures 2.9663, 2.9663 and 22.8431 Å, with angles of 90.00, 90.00 and 120.00 degrees. The distinct sites, in fractional coordinates, are As at (0.0000, 0.0000, 0.2489), Ru at (0.0000, 0.0000, 0.5000) and Rh at (0.0000, 0.0000, 0.0000).



[13]
Entry from Alexandria: a relaxed structure of AsRuRh (PBEsol).

The value obtained for the energy relative to the elements is 21 meV/atom. Its crystal system is trigonal. The calculation puts the density of states at the Fermi level at 0.955 states/eV per atom. The final energy is -7.785 eV per atom. The calculation puts the theoretical density at 11.0 Mg/m³.

The space group is P3m1 (No. 156) and the conventional cell measures 2.8585, 2.8585 and 5.9475 Å, with angles of 90.00, 90.00 and 120.00 degrees. The distinct sites, in fractional coordinates, are As at (0.0000, 0.0000, 0.0000), Ru at (0.6667, 0.3333, 0.3108) and Rh at (0.3333, 0.6667, 0.6771).



[14]
Entry from Alexandria: a relaxed structure of As2RuRh (PBEsol).

The value obtained for the energy relative to the elements is -48 meV/atom. Its crystal system is tetragonal. The calculation puts the density of states at the Fermi level at 1.013 states/eV per atom. The final energy is -7.179 eV per atom. The polymorph energy (0 for the lowest one) is 120 meV per atom. The calculation puts the theoretical density at 10.3 Mg/m³.

The space group is I4/mmm (No. 139) and the conventional cell measures 4.206, 4.206 and 6.461 Å, with angles of 90.00, 90.00 and 90.00 degrees. The distinct sites, in fractional coordinates, are As at (0.000, 0.500, 0.250), Ru at (0.000, 0.000, 0.000) and Rh at (0.000, 0.000, 0.500).



[15]
Entry from Alexandria: a relaxed structure of As2RuRh (PBEsol).

The value obtained for the energy relative to the elements is 355 meV/atom. Its crystal system is cubic. The calculation puts the density of states at the Fermi level at 0.824 states/eV per atom. The final energy is -6.776 eV per atom. The polymorph energy (0 for the lowest one) is 523 meV per atom. The calculation puts the theoretical density at 9.9 Mg/m³.

The space group is F-43m (No. 216) and the conventional cell measures 6.201, 6.201 and 6.201 Å, with angles of 90.00, 90.00 and 90.00 degrees. The distinct sites, in fractional coordinates, are As at (0.000, 0.000, 0.000), As at (0.250, 0.250, 0.250), Ru at (0.000, 0.000, 0.500) and Rh at (0.250, 0.250, 0.750).



[16]
Entry from Alexandria: a relaxed structure of AsRh2S2 (PBEsol).

Its crystal system is tetragonal. The calculation puts the formation energy from raw total energies at 0.12 eV per atom. The calculation puts the density of states at the Fermi level at 0.761 states/eV per atom. The final energy is -5.910 eV per atom. The calculation puts the theoretical density at 7.2 Mg/m³.

The space group is I4/mmm (No. 139) and the conventional cell measures 3.849, 3.849 and 10.671 Å, with angles of 90.00, 90.00 and 90.00 degrees. The distinct sites, in fractional coordinates, are As at (0.000, 0.000, 0.000), Rh at (0.000, 0.000, 0.380) and S at (0.000, 0.500, 0.250).



[17]
Entry from Alexandria: a relaxed structure of AsRhS3 (PBEsol).

Its crystal system is cubic. The calculation puts the formation energy from raw total energies at 0.49 eV per atom. The calculation puts the density of states at the Fermi level at 1.221 states/eV per atom. The final energy is -4.789 eV per atom. The calculation puts the theoretical density at 4.9 Mg/m³.

The space group is Pm-3m (No. 221) and the conventional cell measures 4.532, 4.532 and 4.532 Å, with angles of 90.00, 90.00 and 90.00 degrees. The distinct sites, in fractional coordinates, are As at (0.000, 0.000, 0.000), Rh at (0.500, 0.500, 0.500) and S at (0.000, 0.500, 0.500).



[18]
Entry from Alexandria: a relaxed structure of ScAsRhS2 (PBEsol).

Its crystal system is tetragonal. The calculation puts the formation energy from raw total energies at -0.14 eV per atom. The calculation puts the density of states at the Fermi level at 0.813 states/eV per atom. The final energy is -5.865 eV per atom. The calculation puts the theoretical density at 4.8 Mg/m³.

The space group is P4/mmm (No. 123) and the conventional cell measures 4.651, 4.651 and 4.558 Å, with angles of 90.00, 90.00 and 90.00 degrees. The distinct sites, in fractional coordinates, are Sc at (0.000, 0.000, 0.000), As at (0.500, 0.500, 0.000), Rh at (0.500, 0.500, 0.500) and S at (0.000, 0.500, 0.500).



[19]
Entry from Alexandria: a relaxed structure of SbAs2Rh (PBEsol).

Its crystal system is trigonal. The calculation puts the formation energy from raw total energies at -0.06 eV per atom. The calculation puts the density of states at the Fermi level at 0.552 states/eV per atom. The final energy is -5.785 eV per atom. The calculation puts the theoretical density at 8.0 Mg/m³.

The space group is R-3m (No. 166, hexagonal axes) and the conventional cell measures 3.4463, 3.4463 and 22.7773 Å, with angles of 90.00, 90.00 and 120.00 degrees. The distinct sites, in fractional coordinates, are Sb at (0.0000, 0.0000, 0.0000), As at (0.0000, 0.0000, 0.2316) and Rh at (0.0000, 0.0000, 0.5000).



[20]
Entry from Alexandria: a relaxed structure of SbAsRh2 (PBEsol).

Its crystal system is monoclinic. The calculation puts the formation energy from raw total energies at -0.21 eV per atom. The calculation puts the density of states at the Fermi level at 0.689 states/eV per atom. The final energy is -6.696 eV per atom. The calculation puts the theoretical density at 10.3 Mg/m³.

The space group is C2/m (No. 12) and the conventional cell measures 7.981, 3.089 and 5.416 Å, with angles of 90.00, 102.84 and 90.00 degrees. The distinct sites, in fractional coordinates, are Sb at (0.000, 0.000, 0.000), As at (0.000, 0.500, 0.500) and Rh at (0.245, 0.000, 0.726).



Listing total magnetic moment for the structures above in their given order: 0.00 0.00 0.00 0.00 0.00 0.00 0.00 0.00 0.00 0.00 0.00 0.00 0.00 0.00 0.00 0.00 0.00 0.00 0.00 0.00 μB/atom.